CeHoPb3 (PBE, optimized geometry); symmetry = Pnma, No. 62; energy of formation from the pure elements = -206 meV per atom; N(E_F) = 33.0 states/eV/cell
1.0
9.766 0.000 0.000
0.000 7.199 0.000
0.000 0.000 9.047
Pb Ce Ho
12 4 4
Direct
0.702 0.659 0.564
0.662 0.266 0.750
0.202 0.841 0.936
0.798 0.159 0.064
0.298 0.341 0.436
0.798 0.159 0.436
0.702 0.659 0.936
0.838 0.766 0.250
0.202 0.841 0.564
0.162 0.234 0.750
0.298 0.341 0.064
0.338 0.734 0.250
0.405 0.555 0.750
0.095 0.055 0.250
0.905 0.945 0.750
0.595 0.445 0.250
0.500 0.000 0.500
0.000 0.500 0.500
0.500 0.000 0.000
0.000 0.500 0.000